Crystalline Li2HgAu at its relaxed geometry, computed with PBE.

Cell lengths 3.0533, 4.6918, 4.6944 Å; angles 90.00, 90.00, 90.00 degrees
Closest atoms and distances in Å follow each position.
Sites, in units of the cell vectors:
Li  0.0000  0.0000  0.0000  4 Au 2.80, 4 Hg 2.80, 2 Li 3.05
Li  0.0000  0.5000  0.4906  4 Au 2.80, 4 Hg 2.80, 2 Li 3.05
Hg  0.5000  0.0000  0.5000  8 Li 2.80, 2 Hg 3.05
Au  0.5000  0.5000  0.9917  8 Li 2.80, 2 Au 3.05

Computed properties:
Total energy   -2.299 eV per atom
ΔE to the lowest computed polymorph   0.006 eV per atom
Calculated formation energy   -0.45 eV/atom


Crystalline YAlZn at its relaxed geometry, computed with PBE.

Cell lengths 6.0294, 4.7121, 8.5652 Å; angles 90.00, 90.00, 90.00 degrees
Closest atoms and distances in Å follow each position.
Sites, in units of the cell vectors:
Y  0.2109  0.2500  0.0792  5 Zn 2.82-3.12, 2 Al 3.16
Y  0.2891  0.7500  0.5792  5 Zn 2.82-3.12, 2 Al 3.16
Y  0.7109  0.2500  0.4208  5 Zn 2.82-3.12, 2 Al 3.16
Y  0.7891  0.7500  0.9208  5 Zn 2.82-3.12, 2 Al 3.16
Al  0.0136  0.2500  0.7298  3 Zn 2.92-2.96, 2 Al 3.03, 6 Y 3.16-3.22
Al  0.4864  0.7500  0.2298  3 Zn 2.92-2.96, 2 Al 3.03, 6 Y 3.16-3.22
Al  0.5136  0.2500  0.7702  3 Zn 2.92-2.96, 2 Al 3.03, 6 Y 3.16-3.22
Al  0.9864  0.7500  0.2702  3 Zn 2.92-2.96, 2 Al 3.03, 6 Y 3.16-3.22
Zn  0.1932  0.2500  0.4084  5 Y 2.82-3.12, 3 Al 2.92-2.96
Zn  0.3068  0.7500  0.9084  5 Y 2.82-3.12, 3 Al 2.92-2.96
Zn  0.6932  0.2500  0.0916  5 Y 2.82-3.12, 3 Al 2.92-2.96
Zn  0.8068  0.7500  0.5916  5 Y 2.82-3.12, 3 Al 2.92-2.96

Computed properties:
Total energy   -4.205 eV per atom
Calculated formation energy   -0.38 eV/atom


Crystalline NaLi2As2 at its relaxed geometry, computed with PBE.

Cell lengths 4.5968, 3.4975, 12.1430 Å; angles 90.00, 93.36, 90.00 degrees
Closest atoms and distances in Å follow each position.
Sites, in units of the cell vectors:
Na  0.2139  0.2500  0.2668  6 As 3.07-3.39, 6 Li 3.12-3.29
Na  0.7861  0.7500  0.7332  6 As 3.07-3.39, 6 Li 3.12-3.29
Li  0.2473  0.7500  0.4804  4 As 2.67-2.77, 4 Li 2.92-2.93
Li  0.2992  0.2500  0.8590  5 As 2.57-2.77
Li  0.7008  0.7500  0.1410  5 As 2.57-2.77
Li  0.7527  0.2500  0.5196  4 As 2.67-2.77, 4 Li 2.92-2.93
As  0.1797  0.7500  0.0276  2 As 2.47, 2 Li 2.66-2.69
As  0.2726  0.2500  0.6466  5 Li 2.57-2.77
As  0.7274  0.7500  0.3534  5 Li 2.57-2.77
As  0.8203  0.2500  0.9724  2 As 2.47, 2 Li 2.66-2.69

Computed properties:
Total energy   -3.360 eV per atom
ΔE to the lowest computed polymorph   0.015 eV per atom
Calculated formation energy   -0.47 eV/atom


no.,total magnetic moment (μB per formula unit)
1,0.0
2,0.0
3,0.0